Material: SrCaMnWO6
Method: DFT, PBE with a Hubbard U
State: relaxed

Cell: 5.7389 5.7389 5.7389 Å, 60.00 60.00 60.00°
Sites, in units of the cell vectors:
1 Sr 0.0000 0.0000 0.0000
2 Ca 0.5000 0.5000 0.5000
3 Mn 0.2500 0.2500 0.2500
4 W 0.7500 0.7500 0.7500
5 O 0.5109 0.5109 0.9891
6 O 0.5109 0.9891 0.5109
7 O 0.5109 0.9891 0.9891
8 O 0.9891 0.5109 0.5109
9 O 0.9891 0.5109 0.9891
10 O 0.9891 0.9891 0.5109

Computed properties:
Total energy ... -7.20 eV/atom
Size of the total moment ... 5.00 Bohr magnetons per cell